No. 1
Density functional theory data (PBE) for Ce5PuTl5 after structural relaxation.

## Properties
* total magnetization: 0.0 μB/cell
* formation energy from the elements: -0.175 eV per atom
* symmetry: C2/m (12)

Geometry as extended XYZ:
```
11
Lattice="-3.263 -0.637 4.035 -7.309 -2.120 -2.857 -1.300 -8.513 0.993" Properties=species:S:1:pos:R:3 pbc="T T T"
Ce -10.165 -5.172 1.126
Ce -8.940 -2.438 -0.839
Tl -5.589 -7.337 1.097
Tl -6.282 -3.933 1.074
Ce -1.706 -6.097 1.046
Ce -5.441 -1.810 -1.298
Tl -2.886 -2.934 0.590
Pu -4.563 -9.150 5.028
Tl -8.986 -8.336 1.581
Ce -6.431 -9.460 3.469
Tl -4.304 -5.316 -0.932
```



No. 2
Density functional theory data (PBE) for CdHgF4 after structural relaxation.

## Properties
* total magnetization: 0.0 μB/cell
* ΔE_f (raw): -1045 kJ/mol of formula units
* symmetry: I4_1md (109)

Geometry as extended XYZ:
```
12
Lattice="-1.546 0.598 -6.181 -5.198 -1.452 3.439 2.429 5.535 2.102" Properties=species:S:1:pos:R:3 pbc="T T T"
F -1.171 3.922 1.491
F -1.726 3.655 -1.624
Hg -2.920 2.641 -3.407
Cd -5.070 -0.641 -2.061
F -2.596 1.036 0.996
F -0.648 2.066 -3.780
F -4.430 3.496 0.176
F -3.661 2.606 3.126
Hg -1.676 -0.212 -0.681
Cd 0.430 3.065 -2.044
F -4.969 -0.251 2.668
F -3.261 0.745 -2.179
```



No. 3
Density functional theory data (PBE) for Ca2InAs after structural relaxation.

## Properties
* total magnetization: 0.5 μB/cell
* formation energy from the elements: -0.631 eV per atom
* symmetry: R-3m (166)

Geometry as extended XYZ:
```
4
Lattice="-2.516 -7.289 3.311 1.757 -7.342 3.665 -0.607 -5.218 6.544" Properties=species:S:1:pos:R:3 pbc="T T T"
Ca -0.029 -0.422 0.288
In -0.342 -4.962 3.380
Ca -0.654 -9.502 6.472
As -1.025 -14.887 10.139
```



Question: What is the total magnetization in the first record?
Answer: 0.0 μB/cell